1.
The following is a DFT calculation (SCAN) of a crystal of CsLa2CuSe4 relaxed with PBEsol.

Summary:
Raw formation energy in meV/atom: -1803

abc: 4.265 7.787 14.584
angles: 90.00 90.00 105.89
Sites, in units of the cell vectors:
Se 0.740 0.481 0.886
La 0.635 0.269 0.060
Cu 0.165 0.329 0.250
Se 0.000 0.000 0.500
Cs 0.896 0.791 0.250
Se 0.740 0.481 0.614
Se 0.000 0.000 0.000
La 0.635 0.269 0.440
Se 0.578 0.157 0.250
Cs 0.104 0.209 0.750
Se 0.260 0.519 0.114
Se 0.260 0.519 0.386
La 0.365 0.731 0.560
La 0.365 0.731 0.940
Cu 0.835 0.671 0.750
Se 0.422 0.843 0.750

2.
The following is a DFT calculation (SCAN) of a crystal of CsLi3Cu relaxed with PBEsol.

Summary:
Energy of formation from the pure elements in eV/atom: 0.270

abc: 5.233 5.233 5.233
angles: 90.00 90.00 90.00
Sites, in units of the cell vectors:
Cu 0.000 0.000 0.000
Li 0.000 0.500 0.000
Li 0.000 0.000 0.500
Li 0.500 0.000 0.000
Cs 0.500 0.500 0.500

3.
The following is a DFT calculation (SCAN) of a crystal of Cs3MgCu relaxed with PBEsol.

Summary:
Energy of formation from the pure elements in eV/atom: 0.677

abc: 7.215 7.215 7.215
angles: 90.00 90.00 90.00
Sites, in units of the cell vectors:
Cu 0.500 0.500 0.500
Mg 0.000 0.000 0.000
Cs 0.000 0.000 0.500
Cs 0.000 0.500 0.000
Cs 0.500 0.000 0.000

4.
The following is a DFT calculation (SCAN) of a crystal of Cs3CuMo relaxed with PBEsol.

Summary:
Energy of formation from the pure elements in eV/atom: 1.637

abc: 5.796 5.796 5.796
angles: 90.00 90.00 90.00
Sites, in units of the cell vectors:
Cu 0.500 0.500 0.500
Mo 0.000 0.000 0.000
Cs 0.000 0.000 0.500
Cs 0.000 0.500 0.000
Cs 0.500 0.000 0.000

5.
The following is a DFT calculation (SCAN) of a crystal of Cs3CuN relaxed with PBEsol.

Summary:
Raw formation energy in meV/atom: 555

abc: 5.830 5.830 5.830
angles: 90.00 90.00 90.00
Each line ends with the local moment (μB).
Sites, in units of the cell vectors:
Cu 0.500 0.500 0.500  0.00
Cs 0.000 0.500 0.000  0.01
Cs 0.000 0.000 0.500  0.01
N 0.000 0.000 0.000  0.86
Cs 0.500 0.000 0.000  0.01

6.
The following is a DFT calculation (SCAN) of a crystal of CsNa2Cu relaxed with PBEsol.

Summary:
Energy of formation from the pure elements in eV/atom: 0.448

abc: 5.767 5.767 5.767
angles: 60.00 60.00 60.00
Sites, in units of the cell vectors:
Cu 0.000 0.000 0.000
Na 0.250 0.250 0.250
Cs 0.500 0.500 0.500
Na 0.750 0.750 0.750

7.
The following is a DFT calculation (SCAN) of a crystal of CsNaCu3 relaxed with PBEsol.

Summary:
Energy of formation from the pure elements in eV/atom: 1.637

abc: 5.639 5.639 5.639
angles: 90.00 90.00 90.00
Sites, in units of the cell vectors:
Cs 0.000 0.000 0.000
Cu 0.500 0.000 0.000
Cu 0.000 0.500 0.000
Cu 0.000 0.000 0.500
Na 0.500 0.500 0.500

8.
The following is a DFT calculation (SCAN) of a crystal of CsNbCuPt2 relaxed with PBEsol.

Summary:
Energy of formation from the pure elements in eV/atom: 2.715

abc: 5.006 5.006 5.072
angles: 90.00 90.00 90.00
Each line ends with the local moment (μB).
Sites, in units of the cell vectors:
Pt 0.500 0.000 0.000  0.05
Nb 0.000 0.000 0.500  1.87
Cs 0.000 0.000 0.000  0.02
Cu 0.500 0.500 0.500  0.02
Pt 0.000 0.500 0.000  0.05